[1]
DFT (PBE-GGA) results for TlZn2Os after structural relaxation.

Lattice parameters (Å, degrees): 9.1706 9.1706 9.1706 18.88 18.88 18.88
Closest atoms and distances in Å follow each position.
Fractional positions:
Os  0.2500  0.2500  0.2500  6 Zn 2.64
Tl  0.7500  0.7500  0.7500  6 Tl 3.01, 6 Zn 3.05
Zn  0.9904  0.9904  0.9904  3 Os 2.64
Zn  0.5096  0.5096  0.5096  3 Os 2.64

- symmetry = No. 166
- offset from the most stable computed form (eV/atom) = 0.079
- final energy (eV/atom) = -3.586
- mass density (Mg/m³) = 12.4
- volume (Å³ per atom) = 17.646
- ΔE_f (eV per atom) = 0.450

[2]
DFT (PBE-GGA) results for CdAuCl2 after structural relaxation.

Lattice parameters (Å, degrees): 10.6432 10.6432 10.6432 19.24 19.24 19.24
Closest atoms and distances in Å follow each position.
Fractional positions:
Cl  0.0314  0.0314  0.0314  3 Cd 2.62
Cl  0.4686  0.4686  0.4686  3 Cd 2.62
Au  0.2500  0.2500  0.2500  6 Au 3.56
Cd  0.7500  0.7500  0.7500  6 Cl 2.62

- symmetry = No. 166
- offset from the most stable computed form (eV/atom) = 0.101
- energy relative to the elements, uncorrected (eV/atom) = -0.3244
- final energy (eV/atom) = -2.296
- mass density (Mg/m³) = 5.5
- volume (Å³ per atom) = 28.599

[3]
DFT (PBE-GGA) results for AlHgPb after structural relaxation.

Lattice parameters (Å, degrees): 4.6728 4.6728 4.0941 90.00 90.00 120.00
Closest atoms and distances in Å follow each position.
Fractional positions:
Pb  0.3333  0.6667  0.6666  6 Hg 3.37-3.40, 6 Al 3.37-3.40
Hg  0.6667  0.3333  0.1721  3 Al 2.70
Al  0.0000  0.0000  0.1613  3 Hg 2.70

- symmetry = No. 156
- offset from the most stable computed form (eV/atom) = 0.043
- final energy (eV/atom) = -2.419
- mass density (Mg/m³) = 9.3
- volume (Å³ per atom) = 25.806
- ΔE_f (eV per atom) = 0.165